Record 1
Density functional theory data (PBE-GGA) for YIr2RhPb after structural relaxation.

a b c (Å): 5.064 5.064 4.894
angles (deg): 90.00 90.00 90.00
Space group P4/mmm (No. 123)
One atom of each set of equivalent atoms:
Y 0.000 0.000 0.000 [1 per cell]
Ir 0.000 0.500 0.000 [2 per cell]
Rh 0.000 0.000 0.500 [1 per cell]
Pb 0.500 0.500 0.500 [1 per cell]

Calculated values
energy of formation: 1352 meV/atom
raw total energy: -5.697 eV per atom

Record 2
Density functional theory data (PBE-GGA) for Ca2ZrPt after structural relaxation.

a b c (Å): 5.072 5.072 7.162
angles (deg): 90.00 90.00 90.00
Space group I-4m2 (No. 119)
One atom of each set of equivalent atoms:
Ca 0.000 0.000 0.000 [2 per cell]
Ca 0.000 0.500 0.250 [2 per cell]
Zr 0.000 0.000 0.500 [2 per cell]
Pt 0.000 0.500 0.750 [2 per cell]

Calculated values
polymorph energy (0 for the lowest one): 305 meV per atom
energy of formation: -120 meV/atom
raw total energy: -4.768 eV per atom

Record 3
Density functional theory data (PBE-GGA) for LiEuSiHg after structural relaxation.

a b c (Å): 7.095 7.095 7.095
angles (deg): 90.00 90.00 90.00
Space group F-43m (No. 216)
One atom of each set of equivalent atoms:
Li 0.000 0.000 0.000 [4 per cell]
Eu 0.000 0.000 0.500 [4 per cell]
Si 0.250 0.250 0.250 [4 per cell]
Hg 0.250 0.250 0.750 [4 per cell]

Calculated values
raw total energy: -4.778 eV per atom
formation energy without anion corrections: -0.300 eV per atom

Record 4
Density functional theory data (PBE-GGA) for Ag3Pb after structural relaxation.

a b c (Å): 3.288 9.796 5.178
angles (deg): 90.00 90.00 90.00
Space group Imm2 (No. 44)
One atom of each set of equivalent atoms:
Ag 0.000 0.000 0.000 [2 per cell]
Ag 0.000 0.260 0.362 [4 per cell]
Pb 0.000 0.500 0.988 [2 per cell]

Calculated values
energy of formation: 112 meV/atom
raw total energy: -2.954 eV per atom

Record 5
Density functional theory data (PBE-GGA) for RbYNi2Sn after structural relaxation.

a b c (Å): 4.699 4.699 5.506
angles (deg): 90.00 90.00 90.00
Space group P4/mmm (No. 123)
One atom of each set of equivalent atoms:
Rb 0.000 0.000 0.000 [1 per cell]
Y 0.000 0.000 0.500 [1 per cell]
Ni 0.000 0.500 0.000 [2 per cell]
Sn 0.500 0.500 0.500 [1 per cell]

Calculated values
energy of formation: 1486 meV/atom
raw total energy: -3.113 eV per atom

Record 6
Density functional theory data (PBE-GGA) for KPuHgPb after structural relaxation.

a b c (Å): 7.909 7.909 7.909
angles (deg): 90.00 90.00 90.00
Space group F-43m (No. 216)
One atom of each set of equivalent atoms:
K 0.000 0.000 0.000 [4 per cell]
Pu 0.000 0.000 0.500 [4 per cell]
Hg 0.250 0.250 0.250 [4 per cell]
Pb 0.250 0.250 0.750 [4 per cell]

Calculated values
energy of formation: 0 meV/atom
raw total energy: -4.860 eV per atom

Record 7
Density functional theory data (PBE-GGA) for KSn2As after structural relaxation.

a b c (Å): 5.335 5.335 19.690
angles (deg): 90.00 90.00 90.00
Space group I-42d (No. 122)
One atom of each set of equivalent atoms:
K 0.000 0.000 0.000 [4 per cell]
Sn 0.127 0.250 0.625 [8 per cell]
As 0.000 0.000 0.500 [4 per cell]

Calculated values
energy of formation: -8 meV/atom
raw total energy: -3.446 eV per atom

Record 8
Density functional theory data (PBE-GGA) for HoTm8Al2 after structural relaxation.

a b c (Å): 8.694 14.462 5.461
angles (deg): 90.00 112.76 90.00
Space group C2/m (No. 12)
One atom of each set of equivalent atoms:
Ho 0.000 0.000 0.000 [2 per cell]
Tm 0.000 0.223 0.000 [4 per cell]
Tm 0.098 0.500 0.797 [4 per cell]
Tm 0.207 0.119 0.613 [8 per cell]
Al 0.000 0.308 0.500 [4 per cell]

Calculated values
polymorph energy (0 for the lowest one): 127 meV per atom
energy of formation: 16 meV/atom
raw total energy: -4.333 eV per atom

Record 9
Density functional theory data (PBE-GGA) for RbSr2Cd after structural relaxation.

a b c (Å): 7.909 7.909 19.914
angles (deg): 90.00 90.00 90.00
Space group I-42d (No. 122)
One atom of each set of equivalent atoms:
Rb 0.000 0.000 0.000 [4 per cell]
Sr 0.065 0.250 0.625 [8 per cell]
Cd 0.000 0.000 0.500 [4 per cell]

Calculated values
energy of formation: 334 meV/atom
raw total energy: -0.977 eV per atom

Record 10
Density functional theory data (PBE-GGA) for Ti2InAg after structural relaxation.

a b c (Å): 3.067 3.067 7.916
angles (deg): 90.00 90.00 90.00
Space group P4mm (No. 99)
One atom of each set of equivalent atoms:
Ti 0.000 0.000 0.000 [1 per cell]
Ti 0.500 0.500 0.230 [1 per cell]
In 0.000 0.000 0.495 [1 per cell]
Ag 0.500 0.500 0.759 [1 per cell]

Calculated values
energy of formation: -55 meV/atom
raw total energy: -5.400 eV per atom

Record 11
Density functional theory data (PBE-GGA) for Li4Sb5Pb after structural relaxation.

a b c (Å): 4.523 4.682 22.024
angles (deg): 90.00 90.00 90.00
Space group Cmmm (No. 65)
One atom of each set of equivalent atoms:
Li 0.000 0.000 0.095 [4 per cell]
Li 0.000 0.000 0.282 [4 per cell]
Sb 0.000 0.500 0.000 [2 per cell]
Sb 0.000 0.500 0.192 [4 per cell]
Sb 0.000 0.500 0.377 [4 per cell]
Pb 0.000 0.000 0.500 [2 per cell]

Calculated values
raw total energy: -3.494 eV per atom
formation energy without anion corrections: -0.296 eV per atom

Record 12
Density functional theory data (PBE-GGA) for ErTm10Sc2 after structural relaxation.

a b c (Å): 6.374 15.015 16.886
angles (deg): 90.00 90.00 90.00
Space group Fmmm (No. 69)
One atom of each set of equivalent atoms:
Er 0.000 0.000 0.000 [4 per cell]
Tm 0.000 0.105 0.401 [16 per cell]
Tm 0.000 0.180 0.161 [16 per cell]
Tm 0.250 0.000 0.250 [8 per cell]
Sc 0.250 0.250 0.000 [8 per cell]

Calculated values
energy of formation: 262 meV/atom
raw total energy: -4.502 eV per atom

Record 13
Density functional theory data (PBE-GGA) for YMnW2 after structural relaxation.

a b c (Å): 3.290 4.672 9.173
angles (deg): 90.00 90.00 90.00
Space group Cmm2 (No. 35)
One atom of each set of equivalent atoms:
Y 0.000 0.000 0.000 [2 per cell]
Mn 0.000 0.500 0.729 [2 per cell]
W 0.000 0.000 0.518 [2 per cell]
W 0.000 0.500 0.285 [2 per cell]

Calculated values
polymorph energy (0 for the lowest one): 130 meV per atom
energy of formation: 466 meV/atom
raw total energy: -9.919 eV per atom